1.
First-principles (PBE-GGA) data for a geometry-optimized Cs3GeI6 structure, as listed in Alexandria.

Values from the calculation:
The polymorph energy (0 for the lowest one) comes out at 53 meV/atom. The density of states at the Fermi level comes out at 1.063 states/eV per atom.

Cell lengths 9.171, 9.171, 9.170 Å; angles 59.99, 59.99, 90.00 degrees
Element x y z (fractional)
1 Cs 0.750 0.250 0.500
2 Cs 0.000 0.000 0.000
3 Cs 0.250 0.750 0.500
4 I 0.722 0.722 0.000
5 I 0.722 0.278 0.000
6 I 0.278 0.278 0.445
7 I 0.278 0.722 0.000
8 I 0.722 0.722 0.555
9 I 0.278 0.278 0.000
10 Ge 0.500 0.500 0.000

=====

2.
First-principles (PBE-GGA) data for a geometry-optimized CsGeI4 structure, as listed in Alexandria.

Values from the calculation:
The polymorph energy (0 for the lowest one) comes out at 0 meV/atom. The density of states at the Fermi level comes out at 0.796 states/eV per atom.

Cell lengths 5.589, 8.520, 12.359 Å; angles 90.00, 103.07, 90.00 degrees
Element x y z (fractional)
1 I 0.177 0.988 0.353
2 I 0.177 0.512 0.353
3 I 0.578 0.750 0.155
4 I 0.000 0.000 0.000
5 I 0.823 0.012 0.647
6 I 0.823 0.488 0.647
7 I 0.000 0.500 0.000
8 I 0.422 0.250 0.845
9 Cs 0.410 0.750 0.820
10 Cs 0.590 0.250 0.180
11 Ge 0.896 0.250 0.792
12 Ge 0.104 0.750 0.208

=====

3.
First-principles (PBE-GGA) data for a geometry-optimized CsGeI3 structure, as listed in Alexandria.

Values from the calculation:
The density of states at the Fermi level comes out at 0.000 states/eV per atom.

Cell lengths 7.375, 8.425, 8.432 Å; angles 119.97, 94.38, 90.00 degrees
Element x y z (fractional)
1 Ge 0.000 0.000 0.000
2 Ge 0.500 0.000 0.000
3 Cs 0.255 0.334 0.668
4 Cs 0.745 0.666 0.332
5 I 0.265 0.330 0.165
6 I 0.735 0.670 0.835
7 I 0.265 0.836 0.165
8 I 0.221 0.835 0.670
9 I 0.779 0.165 0.330
10 I 0.735 0.164 0.835

=====

4.
First-principles (PBE-GGA) data for a geometry-optimized Cs2Ge2I5 structure, as listed in Alexandria.

Values from the calculation:
The polymorph energy (0 for the lowest one) comes out at 39 meV/atom. The density of states at the Fermi level comes out at 0.335 states/eV per atom.

Cell lengths 6.479, 9.165, 8.769 Å; angles 111.05, 90.00, 110.70 degrees
Element x y z (fractional)
1 Ge 0.160 0.320 0.896
2 Ge 0.840 0.680 0.104
3 Cs 0.600 0.200 0.298
4 Cs 0.400 0.800 0.702
5 I 0.153 0.306 0.571
6 I 0.661 0.322 0.906
7 I 0.847 0.694 0.429
8 I 0.339 0.678 0.094
9 I 0.000 0.000 0.000

=====

5.
First-principles (PBE-GGA) data for a geometry-optimized CsGe2I4 structure, as listed in Alexandria.

Values from the calculation:
The density of states at the Fermi level comes out at 0.259 states/eV per atom.

Cell lengths 5.111, 7.241, 16.197 Å; angles 90.00, 90.00, 110.67 degrees
Element x y z (fractional)
1 I 0.911 0.823 0.750
2 I 0.770 0.539 0.402
3 I 0.230 0.461 0.598
4 I 0.230 0.461 0.902
5 I 0.500 0.000 0.000
6 I 0.500 0.000 0.500
7 I 0.770 0.539 0.098
8 I 0.089 0.177 0.250
9 Cs 0.384 0.768 0.250
10 Cs 0.616 0.232 0.750
11 Ge 0.117 0.234 0.451
12 Ge 0.883 0.766 0.549
13 Ge 0.117 0.234 0.049
14 Ge 0.883 0.766 0.951

=====

6.
First-principles (PBE-GGA) data for a geometry-optimized Cs4InGe3I12 structure, as listed in Alexandria.

Values from the calculation:
The density of states at the Fermi level comes out at 0.027 states/eV per atom.

Cell lengths 10.452, 10.452, 10.452 Å; angles 109.47, 109.47, 109.47 degrees
Element x y z (fractional)
1 Ge 0.000 0.500 0.500
2 Ge 0.500 0.000 0.500
3 Ge 0.500 0.500 0.000
4 I 0.255 0.000 0.255
5 I 0.745 0.000 0.745
6 I 0.750 0.250 0.500
7 I 0.000 0.745 0.745
8 I 0.750 0.500 0.250
9 I 0.000 0.255 0.255
10 I 0.255 0.255 0.000
11 I 0.745 0.745 0.000
12 I 0.500 0.250 0.750
13 I 0.250 0.500 0.750
14 I 0.250 0.750 0.500
15 I 0.500 0.750 0.250
16 Cs 0.500 0.500 0.500
17 Cs 0.500 0.000 0.000
18 Cs 0.000 0.500 0.000
19 Cs 0.000 0.000 0.500
20 In 0.000 0.000 0.000

=====

7.
First-principles (PBE-GGA) data for a geometry-optimized Cs4In3GeI12 structure, as listed in Alexandria.

Values from the calculation:
The density of states at the Fermi level comes out at 0.207 states/eV per atom.

Cell lengths 10.614, 10.614, 10.614 Å; angles 109.47, 109.47, 109.47 degrees
Element x y z (fractional)
1 I 0.000 0.245 0.245
2 I 0.245 0.000 0.245
3 I 0.250 0.750 0.500
4 I 0.245 0.245 0.000
5 I 0.755 0.755 0.000
6 I 0.750 0.250 0.500
7 I 0.500 0.750 0.250
8 I 0.000 0.755 0.755
9 I 0.500 0.250 0.750
10 I 0.755 0.000 0.755
11 I 0.250 0.500 0.750
12 I 0.750 0.500 0.250
13 Cs 0.000 0.000 0.500
14 Cs 0.500 0.000 0.000
15 Cs 0.500 0.500 0.500
16 Cs 0.000 0.500 0.000
17 Ge 0.000 0.000 0.000
18 In 0.500 0.000 0.500
19 In 0.500 0.500 0.000
20 In 0.000 0.500 0.500

=====

8.
First-principles (PBE-GGA) data for a geometry-optimized Cs2InGeI5 structure, as listed in Alexandria.

Values from the calculation:
The density of states at the Fermi level comes out at 0.000 states/eV per atom.

Cell lengths 4.757, 11.012, 17.575 Å; angles 90.00, 90.00, 102.47 degrees
Element x y z (fractional)
1 I 0.642 0.283 0.483
2 I 0.912 0.824 0.577
3 I 0.088 0.176 0.077
4 I 0.696 0.392 0.918
5 I 0.498 0.995 0.774
6 I 0.260 0.520 0.644
7 I 0.740 0.480 0.144
8 I 0.304 0.608 0.418
9 I 0.502 0.005 0.274
10 I 0.358 0.717 0.983
11 Ge 0.223 0.447 0.029
12 Ge 0.777 0.553 0.529
13 In 0.541 0.081 0.955
14 In 0.459 0.919 0.455
15 Cs 0.916 0.831 0.146
16 Cs 0.084 0.169 0.646
17 Cs 0.143 0.285 0.297
18 Cs 0.857 0.715 0.797

=====

9.
First-principles (PBE-GGA) data for a geometry-optimized CsInGeI4 structure, as listed in Alexandria.

Cell lengths 5.922, 5.922, 10.174 Å; angles 106.92, 106.92, 90.00 degrees
Element x y z (fractional)
1 I 0.996 0.496 0.993
2 I 0.496 0.996 0.993
3 I 0.841 0.841 0.681
4 I 0.181 0.181 0.362
5 Ge 0.991 0.991 0.982
6 In 0.355 0.355 0.711
7 Cs 0.639 0.639 0.278

=====

10.
First-principles (PBE-GGA) data for a geometry-optimized Cs3InGe2I9 structure, as listed in Alexandria.

Values from the calculation:
The density of states at the Fermi level comes out at 0.312 states/eV per atom.

Cell lengths 8.555, 8.555, 10.477 Å; angles 90.00, 90.00, 120.00 degrees
Element x y z (fractional)
1 Cs 0.667 0.333 0.331
2 Cs 0.333 0.667 0.669
3 Cs 0.000 0.000 0.000
4 In 0.000 0.000 0.500
5 I 0.500 0.500 0.000
6 I 0.000 0.500 0.000
7 I 0.170 0.340 0.329
8 I 0.830 0.170 0.671
9 I 0.660 0.830 0.329
10 I 0.170 0.830 0.329
11 I 0.500 0.000 0.000
12 I 0.340 0.170 0.671
13 I 0.830 0.660 0.671
14 Ge 0.333 0.667 0.163
15 Ge 0.667 0.333 0.837

=====

11.
First-principles (PBE-GGA) data for a geometry-optimized Cs2GeIrI6 structure, as listed in Alexandria.

Values from the calculation:
The density of states at the Fermi level comes out at 0.463 states/eV per atom.

Cell lengths 8.184, 8.184, 8.201 Å; angles 60.07, 60.07, 90.00 degrees
Element x y z (fractional)
1 I 0.762 0.238 0.000
2 I 0.238 0.762 0.000
3 I 0.238 0.238 0.000
4 I 0.763 0.763 0.474
5 I 0.237 0.237 0.526
6 I 0.762 0.762 0.000
7 Ir 0.000 0.000 0.000
8 Cs 0.750 0.250 0.500
9 Cs 0.250 0.750 0.500
10 Ge 0.500 0.500 0.000

=====

12.
First-principles (PBE-GGA) data for a geometry-optimized Cs4KGe3I12 structure, as listed in Alexandria.

Values from the calculation:
The density of states at the Fermi level comes out at 0.611 states/eV per atom.

Cell lengths 10.576, 10.576, 10.576 Å; angles 109.47, 109.47, 109.47 degrees
Element x y z (fractional)
1 I 0.750 0.250 0.500
2 I 0.500 0.250 0.750
3 I 0.734 0.000 0.734
4 I 0.000 0.266 0.266
5 I 0.266 0.266 0.000
6 I 0.500 0.750 0.250
7 I 0.250 0.500 0.750
8 I 0.250 0.750 0.500
9 I 0.000 0.734 0.734
10 I 0.750 0.500 0.250
11 I 0.266 0.000 0.266
12 I 0.734 0.734 0.000
13 Cs 0.000 0.500 0.000
14 Cs 0.500 0.500 0.500
15 Cs 0.000 0.000 0.500
16 Cs 0.500 0.000 0.000
17 Ge 0.500 0.500 0.000
18 Ge 0.000 0.500 0.500
19 Ge 0.500 0.000 0.500
20 K 0.000 0.000 0.000

=====

Listing electronic total energy for the structures above in their given order: -2.59; -2.57; -2.86; -2.77; -2.79; -2.77; -2.63; -2.73; -2.74; -2.74; -3.05; -2.72 eV per atom.
Listing energy relative to the elements, uncorrected for the structures above in their given order: -0.94; -0.63; -0.83; -0.69; -0.46; -0.84; -0.89; -0.86; -0.68; -0.84; -0.60; -0.87 eV per atom.